1.
Entry from Alexandria: crystalline TlFe2RhAu at its relaxed geometry (PBE).

Values from the calculation:
Symmetry   No. 123
Density of states at the Fermi level   5.38 states/eV/cell
ΔH_f (0 K)   1397 meV per atom
Volume   116.53 Å³/f.u.

extended XYZ file:
```
5
Lattice="-0.4727 3.2512 3.4582 -4.7478 1.0319 -1.6191 -1.7247 -3.3554 2.9189" Properties=species:S:1:pos:R:3 pbc="T T T"
Fe -0.8623 -1.6777 1.4594
Fe -0.2363 1.6256 1.7291
Au 0.0000 0.0000 0.0000
Rh -3.4726 0.4639 2.3790
Tl -2.3739 0.5159 -0.8095
```

2.
Entry from Alexandria: crystalline TlFe2RhAu at its relaxed geometry (PBE).

Values from the calculation:
Symmetry   No. 123
Density of states at the Fermi level   6.51 states/eV/cell
ΔH_f (0 K)   928 meV per atom
Volume   112.57 Å³/f.u.

extended XYZ file:
```
5
Lattice="-3.3764 -2.7536 -1.7028 2.7560 -0.7314 -4.2821 2.0499 -3.7225 1.9551" Properties=species:S:1:pos:R:3 pbc="T T T"
Fe -1.6882 -1.3768 -0.8514
Fe 1.0249 -1.8613 0.9776
Tl 1.3780 -0.3657 -2.1411
Au 0.7148 -3.6038 -2.0149
Rh 0.0000 0.0000 0.0000
```

3.
Entry from Alexandria: crystalline Fe2RuAu at its relaxed geometry (PBE).

Values from the calculation:
Symmetry   No. 123
Density of states at the Fermi level   5.29 states/eV/cell
ΔH_f (0 K)   193 meV per atom
Volume   56.15 Å³/f.u.

extended XYZ file:
```
4
Lattice="-1.6038 0.3619 2.1532 -0.9664 -2.5134 -0.2974 5.5288 -2.6661 4.5663" Properties=species:S:1:pos:R:3 pbc="T T T"
Au 2.8615 -3.0753 4.3526
Ru 0.0971 -1.7423 2.0695
Fe 2.6627 -1.2840 2.1991
Fe 0.1018 -0.0491 0.0840
```

4.
Entry from Alexandria: crystalline Fe2RuAu at its relaxed geometry (PBE).

Values from the calculation:
Symmetry   No. 139
Density of states at the Fermi level   5.37 states/eV/cell
ΔH_f (0 K)   231 meV per atom
Volume   56.46 Å³/f.u.

extended XYZ file:
```
4
Lattice="-0.0962 2.3623 -3.9518 -1.0280 -3.0584 -3.2857 -2.1354 0.8587 3.9886" Properties=species:S:1:pos:R:3 pbc="T T T"
Ru -1.3969 1.4364 -1.7910
Fe 0.0000 0.0000 -0.0001
Fe -0.5621 -0.3481 -3.6187
Au -1.8627 -1.2739 -1.4579
```

Copy entry 3 word for word.
Entry from Alexandria: crystalline Fe2RuAu at its relaxed geometry (PBE).

Values from the calculation:
Symmetry   No. 123
Density of states at the Fermi level   5.29 states/eV/cell
ΔH_f (0 K)   193 meV per atom
Volume   56.15 Å³/f.u.

extended XYZ file:
```
4
Lattice="-1.6038 0.3619 2.1532 -0.9664 -2.5134 -0.2974 5.5288 -2.6661 4.5663" Properties=species:S:1:pos:R:3 pbc="T T T"
Au 2.8615 -3.0753 4.3526
Ru 0.0971 -1.7423 2.0695
Fe 2.6627 -1.2840 2.1991
Fe 0.1018 -0.0491 0.0840
```

Copy entry 3 word for word.
Entry from Alexandria: crystalline Fe2RuAu at its relaxed geometry (PBE).

Values from the calculation:
Symmetry   No. 123
Density of states at the Fermi level   5.29 states/eV/cell
ΔH_f (0 K)   193 meV per atom
Volume   56.15 Å³/f.u.

extended XYZ file:
```
4
Lattice="-1.6038 0.3619 2.1532 -0.9664 -2.5134 -0.2974 5.5288 -2.6661 4.5663" Properties=species:S:1:pos:R:3 pbc="T T T"
Au 2.8615 -3.0753 4.3526
Ru 0.0971 -1.7423 2.0695
Fe 2.6627 -1.2840 2.1991
Fe 0.1018 -0.0491 0.0840
```

Repeat the fourth record exactly.
Entry from Alexandria: crystalline Fe2RuAu at its relaxed geometry (PBE).

Values from the calculation:
Symmetry   No. 139
Density of states at the Fermi level   5.37 states/eV/cell
ΔH_f (0 K)   231 meV per atom
Volume   56.46 Å³/f.u.

extended XYZ file:
```
4
Lattice="-0.0962 2.3623 -3.9518 -1.0280 -3.0584 -3.2857 -2.1354 0.8587 3.9886" Properties=species:S:1:pos:R:3 pbc="T T T"
Ru -1.3969 1.4364 -1.7910
Fe 0.0000 0.0000 -0.0001
Fe -0.5621 -0.3481 -3.6187
Au -1.8627 -1.2739 -1.4579
```

The highest volume belongs to which entry? number 1